The following is a PBE+U calculation of a relaxed structure of K3NaV2O6, from Alexandria via LeMat-Bulk.

```
K3NaV2O6
1.0
6.195 0.000 0.000
-3.098 5.365 0.000
0.000 0.000 7.184
K Na V O
3 1 2 6
Cartesian
0.000 0.000 0.000 K
0.000 3.577 4.900 K
3.098 1.788 2.284 K
0.000 0.000 3.592 Na
0.000 3.577 1.652 V
3.098 1.788 5.532 V
0.000 1.889 2.000 O
-1.462 4.421 2.000 O
1.636 0.944 5.184 O
1.462 4.421 2.000 O
4.560 0.944 5.184 O
3.098 3.477 5.184 O
```

Values from the calculation:
Spin magnetization = 2.0 μB/f.u.
SG = No. 164
V = 238.8 Å³ per cell
Total DFT energy (no corrections) = -69.796 eV/f.u.